Density functional theory data (PBE) for a geometry-optimized CeGdNi2 structure.

Results
Crystal system   trigonal
DOS(E_F)   0.707 states/eV per atom
E_form   -0.9 eV per formula unit
Relative energy among the computed polymorphs   0.055 eV/atom

a b c (Å): 3.907 3.907 6.951
angles (deg): 73.68 73.68 60.00
Element x y z (fractional)
Ni1 0.746 0.746 0.763
Ni2 0.254 0.254 0.237
Gd1 0.500 0.500 0.500
Ce1 0.000 0.000 0.000



Density functional theory data (PBE) for a geometry-optimized Mg2ScGe structure.

Results
Crystal system   tetragonal
DOS(E_F)   0.393 states/eV per atom
E_form   -0.4 eV per formula unit

a b c (Å): 4.046 4.046 11.055
angles (deg): 79.46 79.46 90.00
Element x y z (fractional)
Sc1 0.500 0.500 0.000
Sc2 0.250 0.750 0.500
Ge1 0.000 0.000 0.000
Ge2 0.750 0.250 0.500
Mg1 0.631 0.125 0.250
Mg2 0.119 0.625 0.250
Mg3 0.375 0.369 0.750
Mg4 0.875 0.881 0.750



Density functional theory data (PBE) for a geometry-optimized SrMg3GeN4 structure.

Results
Crystal system   monoclinic
Formation energy from raw total energies   -6.0 eV/f.u.

a b c (Å): 6.185 6.185 8.466
angles (deg): 47.63 47.63 31.74
Element x y z (fractional)
Sr1 0.011 0.011 0.999
Mg1 0.373 0.373 0.447
Mg2 0.180 0.180 0.177
Mg3 0.821 0.821 0.812
Ge1 0.634 0.634 0.568
N1 0.751 0.751 0.644
N2 0.213 0.213 0.390
N3 0.421 0.421 0.820
N4 0.597 0.597 0.143



Density functional theory data (PBE) for a geometry-optimized Pr2Nd5DyHo structure.

Results
Crystal system   tetragonal
DOS(E_F)   1.528 states/eV per atom
E_form   2.4 eV per formula unit

a b c (Å): 8.680 8.680 10.379
angles (deg): 114.72 114.72 90.00
Element x y z (fractional)
Pr1 0.122 0.378 0.000
Pr2 0.622 0.122 0.000
Pr3 0.378 0.878 0.000
Pr4 0.878 0.622 0.000
Nd1 0.926 0.426 0.288
Nd2 0.639 0.139 0.712
Nd3 0.074 0.574 0.712
Nd4 0.139 0.074 0.712
Nd5 0.574 0.639 0.712
Nd6 0.861 0.926 0.288
Nd7 0.426 0.361 0.288
Nd8 0.361 0.861 0.288
Nd9 0.500 0.500 0.000
Nd10 0.000 0.000 0.000
Dy1 0.250 0.250 0.500
Dy2 0.750 0.750 0.500
Ho1 0.250 0.750 0.500
Ho2 0.750 0.250 0.500



no.,VASP energy (eV per atom)
1,-8.1282
2,-3.6289
3,-5.5998
4,-4.4612